## La3Ho3Th2 (PBE-GGA)

Data for a relaxed La3Ho3Th2 crystal.

The crystal system is orthorhombic. The energy above the most stable polymorph in this dataset comes out at 0.000 eV per formula unit. As for the formation enthalpy at 0 K: 38 meV/atom. The total moment is 0.000 μB/cell. Its total energy is -5.3817 eV per atom.

The space group is Immm (No. 71) and the conventional cell measures 5.0526, 5.1220 and 20.7550 Å, with angles of 90.00, 90.00 and 90.00 degrees. Symmetry generates all atoms from La at (0.0000, 0.0000, 0.0000), La at (0.0000, 0.5000, 0.1294), Ho at (0.0000, 0.0000, 0.5000), Ho at (0.0000, 0.5000, 0.3707) and Th at (0.0000, 0.0000, 0.2494).

---

## PrNd2Dy6Y3 (PBE-GGA)

Data for a relaxed PrNd2Dy6Y3 crystal.

The crystal system is monoclinic. As for the formation enthalpy at 0 K: 19 meV/atom. The total moment is 0.000 μB/cell. Its total energy is -5.0912 eV per atom.

The space group is C2/m (No. 12) and the conventional cell measures 6.2208, 10.7691 and 11.8748 Å, with angles of 90.00, 100.02 and 90.00 degrees. Symmetry generates all atoms from Pr at (0.0000, 0.0000, 0.0000), Nd at (0.0000, 0.3335, 0.0000), Dy at (0.2485, 0.0000, 0.7469), Dy at (0.2482, 0.3332, 0.7470), Y at (0.0000, 0.1668, 0.5000) and Y at (0.0000, 0.5000, 0.5000).